The following is a GGA+U calculation of Na3NiPd3O8 after structural relaxation, from the Alexandria database.

Cell and atoms, written as CIF:
```
data_Na3NiPd3O8
_cell_length_a 10.958
_cell_length_b 6.141
_cell_length_c 6.424
_cell_angle_alpha 90.00
_cell_angle_beta 122.94
_cell_angle_gamma 90.00
_space_group_name_H-M_alt 'C 1 2/m 1'
_space_group_IT_number 12
loop_
_space_group_symop_operation_xyz
'x,y,z'
'-x,-y,-z'
'-x,y,-z'
'x,-y,z'
'x+1/2,y+1/2,z'
'-x+1/2,-y+1/2,-z'
'-x+1/2,y+1/2,-z'
'x+1/2,-y+1/2,z'
loop_
_atom_site_label
_atom_site_type_symbol
_atom_site_fract_x
_atom_site_fract_y
_atom_site_fract_z
Na1 Na 0.000 0.000 0.000
Na2 Na 0.250 0.250 0.000
Ni1 Ni 0.000 0.000 0.500
Pd1 Pd 0.000 0.500 0.500
Pd2 Pd 0.250 0.250 0.500
O1 O 0.026 0.253 0.312
O2 O 0.231 0.000 0.694
O3 O 0.248 0.000 0.287
```

* E: -149.7 eV per cell
* density: 5.3 g/cm³
* volume: 362.77 Å³ per cell